Sc2SbTe | PBE | relaxed

a = 6.566 Å, b = 6.566 Å, c = 8.052 Å
α = 65.94°, β = 65.94°, γ = 90.00°
Fractional positions:
Sc 0.618 0.125 0.250
Sc 0.132 0.625 0.250
Sc 0.375 0.382 0.750
Sc 0.875 0.868 0.750
Sb 0.500 0.500 0.000
Sb 0.250 0.750 0.500
Te 0.000 0.000 0.000
Te 0.750 0.250 0.500

Final energy (eV/atom): -5.611
D(E_F) (states/eV per cell): 7.7
Mass density (g/cm³): 3.97
Size of the total moment (Bohr magnetons per cell): 0.00